First-principles (GGA-PBEsol) data for a relaxed ZnInSn2W crystal, as listed in Alexandria.

Calculated values
total DFT energy (no corrections) = -23.8 eV per cell
space group = No. 123
DFT formation energy = 302 kJ/mol of formula units

```
ZnInSn2W
1.0
-3.514 1.966 3.286
2.259 -2.537 3.933
3.145 4.158 0.876
Sn Zn In W
2 1 1 1
Cartesian
1.129 -1.269 1.967
-1.757 0.983 1.643
0.945 1.793 4.048
1.572 2.079 0.438
0.000 0.000 0.000
```

First-principles (GGA-PBEsol) data for a relaxed Y2In3Sn3 crystal, as listed in Alexandria.

Calculated values
total DFT energy (no corrections) = -39.4 eV per cell
space group = No. 47
DFT formation energy = -391 kJ/mol of formula units

```
Y2In3Sn3
1.0
4.574 0.000 0.000
0.000 4.698 0.000
0.000 0.000 9.034
Y In Sn
2 3 3
Cartesian
0.000 0.000 2.232
0.000 0.000 6.802
2.287 2.349 6.751
2.287 2.349 2.284
0.000 2.349 4.517
0.000 2.349 0.000
2.287 0.000 4.517
2.287 0.000 0.000
```

First-principles (GGA-PBEsol) data for a relaxed Zn2In2Sn crystal, as listed in Alexandria.

Calculated values
total DFT energy (no corrections) = -26.0 eV per cell
space group = No. 127
DFT formation energy = 37 kJ/mol of formula units

```
Zn2In2Sn
1.0
-3.326 -2.318 -0.511
3.341 -5.518 3.283
-2.552 2.255 6.387
In Sn Zn
4 2 4
Cartesian
0.262 -4.972 4.510
-1.502 -3.038 7.223
-1.036 -2.542 1.935
-2.799 -0.609 4.649
0.395 -1.632 4.835
0.000 0.000 0.000
-0.554 0.175 2.813
1.767 -3.159 2.826
1.343 -3.438 6.856
-0.978 -0.104 6.843
```